[1]
The following is a PBE calculation of a relaxed Nd5YHg4 crystal, from Alexandria.

Values from the calculation:
- total moment (μB per atom) = 0.1396
- calculated total energy (eV for the cell shown) = -35.16
- DOS(E_F) (states/eV per atom) = 1.216
- formation energy from the elements (kJ/mol of atoms) = -35.19

Cell lengths 3.8090, 3.8090, 20.3481 Å; angles 90.00, 90.00, 90.00 degrees
Fractional positions:
Nd: 0.0000 0.0000 0.0000
Nd: 0.0000 0.0000 0.1896
Nd: 0.0000 0.0000 0.3801
Nd: 0.0000 0.0000 0.6199
Nd: 0.0000 0.0000 0.8104
Y: 0.5000 0.5000 0.5000
Hg: 0.5000 0.5000 0.0952
Hg: 0.5000 0.5000 0.2876
Hg: 0.5000 0.5000 0.7124
Hg: 0.5000 0.5000 0.9048

---

[2]
The following is a PBE calculation of a relaxed NdSmN crystal, from Alexandria.

Values from the calculation:
- E_form (uncorrected) (kJ/mol of formula units) = -256
- polymorph energy (0 for the lowest one) (meV/atom) = 0
- total moment (μB per atom) = 0.0013
- calculated total energy (eV for the cell shown) = -20.47
- DOS(E_F) (states/eV per atom) = 1.011

Cell lengths 3.6075, 3.6075, 6.3670 Å; angles 90.00, 90.00, 120.00 degrees
Fractional positions:
Nd: 0.0000 0.0000 0.0000
Sm: 0.6667 0.3333 0.5682
N: 0.3333 0.6667 0.7744

---

[3]
The following is a PBE calculation of a relaxed OsS2N crystal, from Alexandria.

Values from the calculation:
- E_form (uncorrected) (kJ/mol of formula units) = 197
- total moment (μB per atom) = 0.0000
- calculated total energy (eV for the cell shown) = -77.29
- DOS(E_F) (states/eV per atom) = 0.465

Cell lengths 3.6087, 3.6087, 16.3544 Å; angles 90.00, 90.00, 120.00 degrees
Fractional positions:
Os: 0.0000 0.0000 0.0000
Os: 0.3333 0.6667 0.6667
Os: 0.6667 0.3333 0.3333
S: 0.0000 0.0000 0.4039
S: 0.0000 0.0000 0.5961
S: 0.3333 0.6667 0.0706
S: 0.3333 0.6667 0.2627
S: 0.6667 0.3333 0.7373
S: 0.6667 0.3333 0.9294
N: 0.0000 0.0000 0.5000
N: 0.3333 0.6667 0.1667
N: 0.6667 0.3333 0.8333